Density functional theory data (PBE) for crystalline AcDy3Ru at its relaxed geometry.

## Properties
**E_tot**: -27.78 eV/cell
**ρ**: 8.277 Mg/m³
**Symmetry**: Pm-3m (221)
**Energy relative to the elements**: -0.1185 eV/atom

Unit cell a=5.4694 b=5.4694 c=5.4694 alpha=90.00 beta=90.00 gamma=90.00
Last column: nearest neighbours and their distance in Å.
Positions (direct):
Ac (0.0000, 0.0000, 0.0000)  12 Dy 3.87
Dy (0.0000, 0.5000, 0.5000)  2 Ru 2.73
Dy (0.5000, 0.0000, 0.5000)  2 Ru 2.73
Dy (0.5000, 0.5000, 0.0000)  2 Ru 2.73
Ru (0.5000, 0.5000, 0.5000)  6 Dy 2.73